Entry 1:
AlHPd3 | PBE-GGA | optimized geometry

```
AlHPd3
1.0
-1.485 -4.469 -3.027
6.879 0.379 -3.935
2.366 -3.370 3.813
Pd H Al
12 4 4
Direct
0.724 0.978 0.724
0.776 0.022 0.224
0.002 0.750 0.457
0.224 0.522 0.776
0.776 0.478 0.224
0.498 0.250 0.957
0.724 0.522 0.724
0.276 0.022 0.276
0.998 0.250 0.543
0.276 0.478 0.276
0.224 0.978 0.776
0.502 0.750 0.043
0.000 0.000 0.500
0.500 0.000 0.000
0.000 0.500 0.500
0.500 0.500 0.000
0.481 0.750 0.504
0.519 0.250 0.496
0.019 0.250 0.004
0.981 0.750 0.996
```

## Properties
ΔE to the lowest computed polymorph	0	kJ/mol of formula units
E	-101.78	eV/cell


Entry 2:
Tl2InHgI3 | PBE-GGA | optimized geometry

```
Tl2InHgI3
1.0
5.587 0.000 0.000
0.000 6.280 0.000
-2.794 -3.140 9.172
In Hg I Tl
1 1 3 2
Direct
0.000 0.000 0.000
0.500 0.000 0.000
0.000 0.500 0.000
0.822 0.822 0.644
0.178 0.178 0.356
0.646 0.646 0.293
0.354 0.354 0.707
```

## Properties
E	-15.17	eV/cell
formation energy without anion corrections	-392	meV/atom


Entry 3:
TiCo3H | PBE-GGA | optimized geometry

```
TiCo3H
1.0
4.071 0.000 0.000
0.000 4.071 0.000
2.036 2.036 8.550
Co Ti H
6 2 2
Direct
0.120 0.873 0.254
0.127 0.373 0.746
0.627 0.873 0.254
0.431 0.431 0.138
0.127 0.880 0.746
0.569 0.569 0.862
0.250 0.750 0.500
0.000 0.000 0.000
0.927 0.427 0.147
0.573 0.073 0.853
```

## Properties
ΔE to the lowest computed polymorph	518	kJ/mol of formula units
E	-57.15	eV/cell


Entry 4:
SrGa2CuAg | PBE-GGA | optimized geometry

```
SrGa2CuAg
1.0
4.727 0.000 0.000
0.000 4.727 0.000
0.000 0.000 5.064
Sr Cu Ga Ag
1 1 2 1
Direct
0.500 0.500 0.500
0.000 0.000 0.000
0.500 0.000 0.000
0.000 0.500 0.000
0.000 0.000 0.500
```

## Properties
E	-15.29	eV/cell
formation energy from the elements	-0.61	eV per formula unit


Entry 5:
NdAsHIr | PBE-GGA | optimized geometry

```
NdAsHIr
1.0
4.086 0.000 0.000
-2.043 3.538 0.000
0.000 0.000 9.863
Nd H Ir As
2 2 2 2
Direct
0.333 0.667 0.235
0.667 0.333 0.735
0.000 0.000 0.663
0.000 0.000 0.163
0.000 0.000 0.491
0.000 0.000 0.991
0.667 0.333 0.423
0.333 0.667 0.923
```

## Properties
E	-48.59	eV/cell


Entry 6:
SrI | PBE-GGA | optimized geometry

```
SrI
1.0
4.518 0.000 0.000
0.000 8.314 0.000
0.000 0.000 16.401
Sr I
6 6
Direct
0.000 0.981 0.385
0.500 0.019 0.115
0.000 0.671 0.000
0.000 0.981 0.615
0.500 0.329 0.500
0.500 0.019 0.885
0.500 0.227 0.292
0.000 0.773 0.792
0.000 0.773 0.208
0.500 0.227 0.708
0.000 0.642 0.500
0.500 0.358 0.000
```

## Properties
E	-32.95	eV/cell
formation energy without anion corrections	-1129	meV/atom


Entry 7:
Cs2InAg2 | PBE-GGA | optimized geometry

```
Cs2InAg2
1.0
5.564 0.000 0.000
0.000 5.564 0.000
2.782 2.782 7.460
Cs Ag In
2 2 1
Direct
0.250 0.750 0.500
0.750 0.250 0.500
0.409 0.409 0.183
0.591 0.591 0.817
0.000 0.000 0.000
```

## Properties
ΔE to the lowest computed polymorph	227	kJ/mol of formula units
E	-8.05	eV/cell
formation energy from the elements	2.09	eV per formula unit


Entry 8:
Ac8HgTe3Pb4 | PBE-GGA | optimized geometry

```
Ac8HgTe3Pb4
1.0
-2.842 -9.184 -1.904
2.672 -2.637 8.731
-6.238 7.438 -1.344
Ac Te Pb Hg
8 3 4 1
Direct
0.247 0.241 0.494
0.749 0.757 0.003
0.746 0.243 0.492
0.753 0.759 0.506
0.251 0.243 0.997
0.746 0.243 0.997
0.254 0.757 0.508
0.254 0.757 0.003
0.500 0.500 0.500
0.000 0.500 0.500
0.500 0.500 0.000
0.000 0.000 0.000
0.000 0.000 0.500
0.500 0.000 0.500
0.500 0.000 0.000
0.000 0.500 0.000
```

## Properties
E	-71.47	eV/cell
formation energy without anion corrections	-878	meV/atom


Spin magnetization
In order: 0.000, 0.000, 5.819, 0.000, 0.000, 1.634, 0.681, 0.001
Unit: μB per cell